(1)
A plane-wave DFT calculation with PBE was carried out for Be2FeSi after structural relaxation.

Results
- raw formation energy (eV/atom) = 0.17
- space-group type = R-3m (166)
- VASP energy (eV per atom) = -5.16

a = 2.512 Å, b = 2.512 Å, c = 22.995 Å
α = 90.00°, β = 90.00°, γ = 120.00°
Atoms (fractional coordinates):
1 Be 0.000 0.000 0.245
2 Be 0.000 0.000 0.755
3 Be 0.333 0.667 0.422
4 Be 0.333 0.667 0.911
5 Be 0.667 0.333 0.089
6 Be 0.667 0.333 0.578
7 Fe 0.000 0.000 0.500
8 Fe 0.333 0.667 0.167
9 Fe 0.667 0.333 0.833
10 Si 0.000 0.000 0.000
11 Si 0.333 0.667 0.667
12 Si 0.667 0.333 0.333


(2)
A plane-wave DFT calculation with PBE was carried out for Be2Fe4Si after structural relaxation.

Results
- raw formation energy (eV/atom) = -0.05
- space-group type = R-3m (166)
- VASP energy (eV per atom) = -6.73

a = 6.320 Å, b = 6.320 Å, c = 6.320 Å
α = 34.65°, β = 34.65°, γ = 34.65°
Atoms (fractional coordinates):
1 Be 0.242 0.242 0.242
2 Be 0.758 0.758 0.758
3 Fe 0.115 0.115 0.115
4 Fe 0.366 0.366 0.366
5 Fe 0.634 0.634 0.634
6 Fe 0.885 0.885 0.885
7 Si 0.500 0.500 0.500


(3)
A plane-wave DFT calculation with PBE was carried out for Be2Fe6Si after structural relaxation.

Results
- raw formation energy (eV/atom) = -0.16
- space-group type = Fmmm (69)
- VASP energy (eV per atom) = -7.24

a = 7.021 Å, b = 5.797 Å, c = 4.736 Å
α = 82.94°, β = 55.03°, γ = 42.03°
Atoms (fractional coordinates):
1 Be 0.168 0.168 0.832
2 Be 0.832 0.832 0.168
3 Fe 0.165 0.835 0.165
4 Fe 0.169 0.491 0.509
5 Fe 0.491 0.169 0.831
6 Fe 0.509 0.831 0.169
7 Fe 0.831 0.509 0.491
8 Fe 0.835 0.165 0.835
9 Si 0.500 0.500 0.500


(4)
A plane-wave DFT calculation with PBE was carried out for BeFe2Si after structural relaxation.

Results
- raw formation energy (eV/atom) = -0.20
- space-group type = Pmm2 (25)
- VASP energy (eV per atom) = -6.72

a = 2.707 Å, b = 2.970 Å, c = 5.052 Å
α = 90.00°, β = 90.00°, γ = 90.00°
Atoms (fractional coordinates):
1 Be 0.000 0.000 0.000
2 Fe 0.000 0.000 0.503
3 Fe 0.500 0.500 0.792
4 Si 0.500 0.500 0.261


(5)
A plane-wave DFT calculation with PBE was carried out for Be2FeSi after structural relaxation.

Results
- raw formation energy (eV/atom) = -0.19
- space-group type = Imma (74)
- VASP energy (eV per atom) = -5.53

a = 4.589 Å, b = 7.046 Å, c = 4.714 Å
α = 90.00°, β = 90.00°, γ = 90.00°
Atoms (fractional coordinates):
1 Be 0.250 0.003 0.250
2 Be 0.250 0.497 0.250
3 Be 0.250 0.503 0.750
4 Be 0.250 0.997 0.750
5 Be 0.750 0.003 0.250
6 Be 0.750 0.497 0.250
7 Be 0.750 0.503 0.750
8 Be 0.750 0.997 0.750
9 Fe 0.000 0.250 0.547
10 Fe 0.000 0.750 0.453
11 Fe 0.500 0.250 0.953
12 Fe 0.500 0.750 0.047
13 Si 0.000 0.250 0.038
14 Si 0.000 0.750 0.962
15 Si 0.500 0.250 0.462
16 Si 0.500 0.750 0.538


(6)
A plane-wave DFT calculation with PBE was carried out for BeFe2Si after structural relaxation.

Results
- raw formation energy (eV/atom) = -0.06
- space-group type = R-3m (166)
- VASP energy (eV per atom) = -6.58

a = 2.564 Å, b = 2.564 Å, c = 22.630 Å
α = 90.00°, β = 90.00°, γ = 120.00°
Atoms (fractional coordinates):
1 Be 0.000 0.000 0.000
2 Be 0.333 0.667 0.667
3 Be 0.667 0.333 0.333
4 Fe 0.000 0.000 0.252
5 Fe 0.000 0.000 0.748
6 Fe 0.333 0.667 0.414
7 Fe 0.333 0.667 0.919
8 Fe 0.667 0.333 0.081
9 Fe 0.667 0.333 0.586
10 Si 0.000 0.000 0.500
11 Si 0.333 0.667 0.167
12 Si 0.667 0.333 0.833


(7)
A plane-wave DFT calculation with PBE was carried out for BeFe2Si after structural relaxation.

Results
- raw formation energy (eV/atom) = -0.23
- space-group type = Imm2 (44)
- VASP energy (eV per atom) = -6.75

a = 2.724 Å, b = 3.703 Å, c = 7.853 Å
α = 90.00°, β = 90.00°, γ = 90.00°
Atoms (fractional coordinates):
1 Be 0.000 0.000 0.000
2 Be 0.500 0.500 0.500
3 Fe 0.000 0.000 0.491
4 Fe 0.000 0.500 0.742
5 Fe 0.500 0.000 0.242
6 Fe 0.500 0.500 0.991
7 Si 0.000 0.500 0.242
8 Si 0.500 0.000 0.742


(8)
A plane-wave DFT calculation with PBE was carried out for BeFe2Si after structural relaxation.

Results
- raw formation energy (eV/atom) = -0.40
- space-group type = Fm-3m (225)
- VASP energy (eV per atom) = -6.92

a = 5.389 Å, b = 5.389 Å, c = 5.389 Å
α = 90.00°, β = 90.00°, γ = 90.00°
Atoms (fractional coordinates):
1 Be 0.000 0.000 0.000
2 Be 0.000 0.500 0.500
3 Be 0.500 0.000 0.500
4 Be 0.500 0.500 0.000
5 Fe 0.250 0.250 0.250
6 Fe 0.250 0.250 0.750
7 Fe 0.250 0.750 0.250
8 Fe 0.250 0.750 0.750
9 Fe 0.750 0.250 0.250
10 Fe 0.750 0.250 0.750
11 Fe 0.750 0.750 0.250
12 Fe 0.750 0.750 0.750
13 Si 0.000 0.000 0.500
14 Si 0.000 0.500 0.000
15 Si 0.500 0.000 0.000
16 Si 0.500 0.500 0.500


Question: Look up the raw formation energy of the second one.
Answer: -0.05 eV/atom